Compound: TbNdSm2Dy4
Source: Alexandria via LeMat-Bulk
Functional: GGA-PBE
Structure: optimized geometry

```
16
Lattice="7.174 0.000 0.000 0.000 10.084 0.000 -0.018 0.000 7.183" Properties=species:S:1:pos:R:3 pbc="T T T"
Tb 0.000 0.000 0.000
Tb -0.009 0.000 3.592
Nd 0.000 5.042 0.000
Nd 3.587 0.000 0.000
Sm -0.009 5.042 3.592
Sm 3.578 0.000 3.592
Sm 3.587 5.042 0.000
Sm 3.578 5.042 3.592
Dy 1.782 2.509 1.801
Dy 1.773 2.509 5.383
Dy 1.782 7.575 1.801
Dy 1.773 7.575 5.383
Dy 5.384 2.509 1.801
Dy 5.375 2.509 5.382
Dy 5.384 7.575 1.801
Dy 5.375 7.575 5.382
```

***

Compound: LaCu2Ni
Source: Alexandria via LeMat-Bulk
Functional: GGA-PBE
Structure: optimized geometry

```
8
Lattice="4.106 0.000 0.000 0.000 7.019 0.000 -2.042 0.000 4.863" Properties=species:S:1:pos:R:3 pbc="T T T"
La -0.001 1.755 0.636
La 2.065 5.265 4.227
Cu 0.007 0.435 3.317
Cu 0.007 3.075 3.317
Cu 2.057 3.944 1.546
Cu 2.057 6.585 1.546
Ni 0.003 5.265 2.068
Ni 2.061 1.755 2.795
```

***

Compound: Tm8InPd2
Source: Alexandria via LeMat-Bulk
Functional: GGA-PBE
Structure: optimized geometry

```
11
Lattice="4.318 -6.725 0.000 4.318 6.725 0.000 -1.484 0.000 5.150" Properties=species:S:1:pos:R:3 pbc="T T T"
Tm 0.913 1.667 2.997
Tm 4.318 3.479 0.000
Tm 0.913 -1.667 2.997
Tm 3.097 0.000 0.994
Tm 4.056 0.000 4.156
Tm 6.240 1.667 2.153
Tm 4.318 -3.479 0.000
Tm 6.240 -1.667 2.153
In 0.000 0.000 0.000
Pd 3.576 2.628 2.575
Pd 3.576 -2.628 2.575
```

***

Compound: K2LaP
Source: Alexandria via LeMat-Bulk
Functional: GGA-PBE
Structure: optimized geometry

```
4
Lattice="-2.532 2.532 4.705 2.532 -2.532 4.705 2.532 2.532 -4.705" Properties=species:S:1:pos:R:3 pbc="T T T"
K 0.000 0.000 0.000
K 0.000 2.532 2.353
La 2.532 0.000 2.353
P 0.000 0.000 4.705
```

***

Calculated calculated formation energy (eV per atom), listed in the same order as above: 0.014; -0.216; -0.347; 0.149
Calculated mass density (kg/m³), listed in the same order as above: 8012; 7693; 9323; 3413